(1)
An optimized crystal structure of BaNbN2O. Source: OQMD via LeMat-Bulk, functional PBE.

a = 7.2343 Å, b = 7.2343 Å, c = 7.2343 Å
α = 109.43°, β = 109.43°, γ = 109.56°
Fractional positions:
Ba 0.2352 0.2352 0.0000
Ba 0.2500 0.7500 0.5000
Ba 0.7500 0.2500 0.5000
Ba 0.7648 0.7648 0.0000
Nb 0.2560 0.2560 0.5119
Nb 0.2560 0.7440 0.0000
Nb 0.7440 0.2560 0.0000
Nb 0.7440 0.7440 0.4881
N 0.0000 0.0000 0.5000
N 0.0000 0.5000 0.0000
N 0.2528 0.5000 0.7528
N 0.5000 0.0000 0.0000
N 0.5000 0.2528 0.7528
N 0.5000 0.5000 0.5000
N 0.5000 0.7472 0.2472
N 0.7472 0.5000 0.2472
O 0.0000 0.2501 0.2501
O 0.0000 0.7499 0.7499
O 0.2501 0.0000 0.2501
O 0.7499 0.0000 0.7499

Summary:
Uncorrected energy, eV/cell: -159.70

(2)
An optimized crystal structure of BaNbN2O. Source: OQMD via LeMat-Bulk, functional PBE.

a = 4.1403 Å, b = 4.1403 Å, c = 4.2261 Å
α = 90.00°, β = 90.00°, γ = 90.00°
Fractional positions:
Ba 0.0000 0.0000 0.0000
Nb 0.5000 0.5000 0.5000
N 0.0000 0.5000 0.5000
N 0.5000 0.0000 0.5000
O 0.5000 0.5000 0.0000

Summary:
Uncorrected energy, eV/cell: -39.80

What is the uncorrected energy in the second record? -39.80 eV/cell